Version one
A plane-wave DFT calculation with PBE-GGA was carried out for a relaxed CdSi2Cl crystal.

Calculated values
calculated volume	19.0	Å³/atom
theoretical density	4.45	Mg/m³

a b c (Å): 3.0850 4.9262 5.0060
angles (deg): 90.00 90.00 90.00
Atoms (fractional coordinates):
Cd 0.0000 0.0000 0.0000
Si 0.0000 0.5000 0.5000
Si 0.5000 0.0000 0.5000
Cl 0.5000 0.5000 0.0000

***

Version two
A plane-wave DFT calculation with PBE-GGA was carried out for a relaxed CdSi2Cl crystal.

Calculated values
calculated volume	27.2	Å³/atom
theoretical density	3.11	Mg/m³

a b c (Å): 5.6941 5.6941 13.4295
angles (deg): 90.00 90.00 90.00
Atoms (fractional coordinates):
Cd 0.0000 0.0000 0.0000
Cd 0.0000 0.5000 0.2500
Cd 0.5000 0.0000 0.7500
Cd 0.5000 0.5000 0.5000
Si 0.2403 0.2500 0.1250
Si 0.2500 0.7403 0.3750
Si 0.2500 0.7597 0.8750
Si 0.2597 0.2500 0.6250
Si 0.7403 0.7500 0.6250
Si 0.7500 0.2403 0.8750
Si 0.7500 0.2597 0.3750
Si 0.7597 0.7500 0.1250
Cl 0.0000 0.0000 0.5000
Cl 0.0000 0.5000 0.7500
Cl 0.5000 0.0000 0.2500
Cl 0.5000 0.5000 0.0000

***

Version three
A plane-wave DFT calculation with PBE-GGA was carried out for a relaxed CdSi2Cl crystal.

Calculated values
calculated volume	19.8	Å³/atom
theoretical density	4.29	Mg/m³

a b c (Å): 5.1859 5.1859 2.9378
angles (deg): 90.00 90.00 90.00
Atoms (fractional coordinates):
Cd 0.0000 0.0000 0.0000
Si 0.0000 0.5000 0.5000
Si 0.5000 0.0000 0.5000
Cl 0.5000 0.5000 0.0000

***

Version four
A plane-wave DFT calculation with PBE-GGA was carried out for a relaxed CdSi2Cl crystal.

Calculated values
calculated volume	19.8	Å³/atom
theoretical density	4.27	Mg/m³

a b c (Å): 2.9581 5.2713 5.0996
angles (deg): 90.00 94.33 90.00
Atoms (fractional coordinates):
Cd 0.0000 0.0000 0.0000
Si 0.4990 0.5000 0.4737
Si 0.5599 0.0000 0.5041
Cl 0.3769 0.5000 0.0359

***

The data favor version four; the next most stable structure lies 19.3 kJ/mol of atoms above it.

***

Version one
A plane-wave DFT calculation with PBE-GGA was carried out for a relaxed Cd3SnCl crystal.

Calculated values
calculated volume	34.8	Å³/atom
theoretical density	4.69	Mg/m³

a b c (Å): 5.5817 5.5817 5.5817
angles (deg): 90.00 90.00 90.00
Atoms (fractional coordinates):
Cd 0.0000 0.0000 0.5000
Cd 0.0000 0.5000 0.0000
Cd 0.5000 0.0000 0.0000
Sn 0.0000 0.0000 0.0000
Cl 0.5000 0.5000 0.5000

***

Version two
A plane-wave DFT calculation with PBE-GGA was carried out for a relaxed Cd3SnCl crystal.

Calculated values
calculated volume	31.1	Å³/atom
theoretical density	5.25	Mg/m³

a b c (Å): 5.3766 5.3766 5.3766
angles (deg): 90.00 90.00 90.00
Atoms (fractional coordinates):
Cd 0.0000 0.0000 0.5000
Cd 0.0000 0.5000 0.0000
Cd 0.5000 0.0000 0.0000
Sn 0.5000 0.5000 0.5000
Cl 0.0000 0.0000 0.0000

***

The data favor version one; the next most stable structure lies 36.4 kJ/mol of atoms above it.

***

Version one
A plane-wave DFT calculation with PBE-GGA was carried out for a relaxed Cd2SnCl2 crystal.

Calculated values
calculated volume	26.9	Å³/atom
theoretical density	5.12	Mg/m³

a b c (Å): 7.5561 7.5561 4.7123
angles (deg): 90.00 90.00 90.00
Atoms (fractional coordinates):
Cd 0.1365 0.3635 0.0000
Cd 0.3635 0.8635 0.0000
Cd 0.6365 0.1365 0.0000
Cd 0.8635 0.6365 0.0000
Sn 0.0000 0.0000 0.0000
Sn 0.5000 0.5000 0.0000
Cl 0.1963 0.6963 0.5000
Cl 0.3037 0.1963 0.5000
Cl 0.6963 0.8037 0.5000
Cl 0.8037 0.3037 0.5000

***

Version two
A plane-wave DFT calculation with PBE-GGA was carried out for a relaxed Cd2SnCl2 crystal.

Calculated values
calculated volume	25.8	Å³/atom
theoretical density	5.34	Mg/m³

a b c (Å): 4.6076 4.6076 12.1505
angles (deg): 90.00 90.00 90.00
Atoms (fractional coordinates):
Cd 0.0000 0.0000 0.1133
Cd 0.0000 0.0000 0.8867
Cd 0.5000 0.5000 0.3867
Cd 0.5000 0.5000 0.6133
Sn 0.0000 0.0000 0.5000
Sn 0.5000 0.5000 0.0000
Cl 0.0000 0.5000 0.2500
Cl 0.0000 0.5000 0.7500
Cl 0.5000 0.0000 0.2500
Cl 0.5000 0.0000 0.7500

***

The data favor version one; the next most stable structure lies 1.5 kJ/mol of atoms above it.

***

Version one
A plane-wave DFT calculation with PBE-GGA was carried out for a relaxed CdSn2Cl crystal.

Calculated values
calculated volume	27.5	Å³/atom
theoretical density	5.83	Mg/m³

a b c (Å): 4.3660 4.3660 23.0427
angles (deg): 90.00 90.00 90.00
Atoms (fractional coordinates):
Cd 0.0000 0.0000 0.0000
Cd 0.0000 0.5000 0.2500
Cd 0.5000 0.0000 0.7500
Cd 0.5000 0.5000 0.5000
Sn 0.2448 0.2500 0.1250
Sn 0.2500 0.7448 0.3750
Sn 0.2500 0.7552 0.8750
Sn 0.2552 0.2500 0.6250
Sn 0.7448 0.7500 0.6250
Sn 0.7500 0.2448 0.8750
Sn 0.7500 0.2552 0.3750
Sn 0.7552 0.7500 0.1250
Cl 0.0000 0.0000 0.5000
Cl 0.0000 0.5000 0.7500
Cl 0.5000 0.0000 0.2500
Cl 0.5000 0.5000 0.0000

***

Version two
A plane-wave DFT calculation with PBE-GGA was carried out for a relaxed CdSn2Cl crystal.

Calculated values
calculated volume	25.0	Å³/atom
theoretical density	6.40	Mg/m³

a b c (Å): 7.3656 7.3656 7.3656
angles (deg): 90.00 90.00 90.00
Atoms (fractional coordinates):
Cd 0.0000 0.0000 0.0000
Cd 0.0000 0.5000 0.5000
Cd 0.5000 0.0000 0.5000
Cd 0.5000 0.5000 0.0000
Sn 0.2500 0.2500 0.2500
Sn 0.2500 0.2500 0.7500
Sn 0.2500 0.7500 0.2500
Sn 0.2500 0.7500 0.7500
Sn 0.7500 0.2500 0.2500
Sn 0.7500 0.2500 0.7500
Sn 0.7500 0.7500 0.2500
Sn 0.7500 0.7500 0.7500
Cl 0.0000 0.0000 0.5000
Cl 0.0000 0.5000 0.0000
Cl 0.5000 0.0000 0.0000
Cl 0.5000 0.5000 0.5000

***

The data favor version one; the next most stable structure lies 6.0 kJ/mol of atoms above it.

***

Version one
A plane-wave DFT calculation with PBE-GGA was carried out for a relaxed Sr2CdCl6 crystal.

Calculated values
calculated volume	31.5	Å³/atom
theoretical density	2.93	Mg/m³

a b c (Å): 6.6172 6.6172 12.9465
angles (deg): 90.00 90.00 90.00
Atoms (fractional coordinates):
Sr 0.0000 0.0000 0.1662
Sr 0.0000 0.0000 0.8338
Sr 0.5000 0.5000 0.3338
Sr 0.5000 0.5000 0.6662
Cd 0.0000 0.0000 0.5000
Cd 0.5000 0.5000 0.0000
Cl 0.1894 0.1894 0.3453
Cl 0.1894 0.1894 0.6547
Cl 0.2102 0.2102 0.0000
Cl 0.2898 0.7102 0.5000
Cl 0.3106 0.6894 0.1547
Cl 0.3106 0.6894 0.8453
Cl 0.6894 0.3106 0.1547
Cl 0.6894 0.3106 0.8453
Cl 0.7102 0.2898 0.5000
Cl 0.7898 0.7898 0.0000
Cl 0.8106 0.8106 0.3453
Cl 0.8106 0.8106 0.6547

***

Version two
A plane-wave DFT calculation with PBE-GGA was carried out for a relaxed Sr2CdCl6 crystal.

Calculated values
calculated volume	28.7	Å³/atom
theoretical density	3.21	Mg/m³

a b c (Å): 6.9177 7.4206 11.5956
angles (deg): 90.00 119.73 90.00
Atoms (fractional coordinates):
Sr 0.1830 0.0997 0.2311
Sr 0.1830 0.4003 0.7311
Sr 0.8170 0.5997 0.2689
Sr 0.8170 0.9003 0.7689
Cd 0.5000 0.0000 0.0000
Cd 0.5000 0.5000 0.5000
Cl 0.1328 0.1818 0.9444
Cl 0.1328 0.3182 0.4444
Cl 0.2415 0.6969 0.9150
Cl 0.2415 0.8031 0.4150
Cl 0.4193 0.0603 0.7602
Cl 0.4193 0.4397 0.2602
Cl 0.5807 0.5603 0.7398
Cl 0.5807 0.9397 0.2398
Cl 0.7585 0.1969 0.5850
Cl 0.7585 0.3031 0.0850
Cl 0.8672 0.6818 0.5556
Cl 0.8672 0.8182 0.0556

***

The data favor version two; the next most stable structure lies 1.1 kJ/mol of atoms above it.

***

Version one
A plane-wave DFT calculation with PBE-GGA was carried out for a relaxed Sr2CdCl crystal.

Calculated values
calculated volume	34.1	Å³/atom
theoretical density	3.93	Mg/m³

a b c (Å): 8.1731 8.1731 8.1731
angles (deg): 90.00 90.00 90.00
Atoms (fractional coordinates):
Sr 0.2500 0.2500 0.2500
Sr 0.2500 0.2500 0.7500
Sr 0.2500 0.7500 0.2500
Sr 0.2500 0.7500 0.7500
Sr 0.7500 0.2500 0.2500
Sr 0.7500 0.2500 0.7500
Sr 0.7500 0.7500 0.2500
Sr 0.7500 0.7500 0.7500
Cd 0.0000 0.0000 0.0000
Cd 0.0000 0.5000 0.5000
Cd 0.5000 0.0000 0.5000
Cd 0.5000 0.5000 0.0000
Cl 0.0000 0.0000 0.5000
Cl 0.0000 0.5000 0.0000
Cl 0.5000 0.0000 0.0000
Cl 0.5000 0.5000 0.5000

***

Version two
A plane-wave DFT calculation with PBE-GGA was carried out for a relaxed Sr2CdCl crystal.

Calculated values
calculated volume	35.7	Å³/atom
theoretical density	3.76	Mg/m³

a b c (Å): 4.1924 3.9154 8.6933
angles (deg): 90.00 90.27 90.00
Atoms (fractional coordinates):
Sr 0.0025 0.0000 0.2309
Sr 0.9975 0.0000 0.7691
Cd 0.5000 0.5000 0.0000
Cl 0.0000 0.5000 0.5000

***

Version three
A plane-wave DFT calculation with PBE-GGA was carried out for a relaxed Sr2CdCl crystal.

Calculated values
calculated volume	35.2	Å³/atom
theoretical density	3.81	Mg/m³

a b c (Å): 4.2920 4.2920 26.4774
angles (deg): 90.00 90.00 120.00
Atoms (fractional coordinates):
Sr 0.0000 0.0000 0.0000
Sr 0.0000 0.0000 0.1668
Sr 0.3333 0.6667 0.6667
Sr 0.3333 0.6667 0.8335
Sr 0.6667 0.3333 0.3333
Sr 0.6667 0.3333 0.5002
Cd 0.0000 0.0000 0.5834
Cd 0.3333 0.6667 0.2501
Cd 0.6667 0.3333 0.9168
Cl 0.0000 0.0000 0.7548
Cl 0.3333 0.6667 0.4215
Cl 0.6667 0.3333 0.0881

***

Version four
A plane-wave DFT calculation with PBE-GGA was carried out for a relaxed Sr2CdCl crystal.

Calculated values
calculated volume	36.7	Å³/atom
theoretical density	3.66	Mg/m³

a b c (Å): 4.5674 4.5674 14.0554
angles (deg): 90.00 90.00 90.00
Atoms (fractional coordinates):
Sr 0.0000 0.0000 0.0000
Sr 0.0000 0.5000 0.2500
Sr 0.5000 0.0000 0.7500
Sr 0.5000 0.5000 0.5000
Cd 0.0000 0.5000 0.7500
Cd 0.5000 0.0000 0.2500
Cl 0.0000 0.0000 0.5000
Cl 0.5000 0.5000 0.0000

***

The data favor version two; the next most stable structure lies 7.3 kJ/mol of atoms above it.